Record 1
This record from Alexandria describes a relaxed LiZnFe2N crystal. The functional is PBE.

Calculated values
* calculated volume: 10.704 Å³ per atom
* DOS(E_F): 3.553 states/eV/f.u.
* E: -5.880 eV/atom
* uncorrected formation energy: -192 meV per atom

CIF file:
```
data_LiZnFe2N
_cell_length_a 3.6636
_cell_length_b 3.6636
_cell_length_c 3.9877
_cell_angle_alpha 90.00
_cell_angle_beta 90.00
_cell_angle_gamma 90.00
_symmetry_space_group_name_H-M 'P 1'
_symmetry_Int_Tables_number 1
_symmetry_space_group_name_Hall 'P 1'
loop_
_atom_site_label
_atom_site_type_symbol
_atom_site_fract_x
_atom_site_fract_y
_atom_site_fract_z
Li1 Li 0.0000 0.0000 0.0000
Zn1 Zn 0.5000 0.5000 0.0000
Fe1 Fe 0.0000 0.5000 0.5000
Fe2 Fe 0.5000 0.0000 0.5000
N1 N 0.0000 0.0000 0.5000
```


Record 2
This record from Alexandria describes a relaxed Mg3Zn8Ni crystal. The functional is PBE.

Calculated values
* formation energy: -0.96 eV/f.u.
* calculated volume: 15.722 Å³ per atom
* DOS(E_F): 4.495 states/eV/f.u.
* E: -1.810 eV/atom

CIF file:
```
data_Mg3Zn8Ni
_cell_length_a 8.8194
_cell_length_b 8.8194
_cell_length_c 8.8194
_cell_angle_alpha 33.75
_cell_angle_beta 33.75
_cell_angle_gamma 33.75
_symmetry_space_group_name_H-M 'P 1'
_symmetry_Int_Tables_number 1
_symmetry_space_group_name_Hall 'P 1'
loop_
_atom_site_label
_atom_site_type_symbol
_atom_site_fract_x
_atom_site_fract_y
_atom_site_fract_z
Mg1 Mg 0.0000 0.0000 0.0000
Mg2 Mg 0.1286 0.1286 0.1286
Mg3 Mg 0.5103 0.5103 0.5103
Zn1 Zn 0.0602 0.5654 0.5654
Zn2 Zn 0.0676 0.0676 0.5686
Zn3 Zn 0.0676 0.5686 0.0676
Zn4 Zn 0.3155 0.3155 0.3155
Zn5 Zn 0.5654 0.0602 0.5654
Zn6 Zn 0.5654 0.5654 0.0602
Zn7 Zn 0.5686 0.0676 0.0676
Zn8 Zn 0.8160 0.8160 0.8160
Ni1 Ni 0.6312 0.6312 0.6312
```


Record 3
This record from Alexandria describes a relaxed LaCrIn2 crystal. The functional is PBE.

Calculated values
* formation energy: 0.42 eV/f.u.
* calculated volume: 25.460 Å³ per atom
* DOS(E_F): 3.872 states/eV/f.u.
* E: -4.903 eV/atom

CIF file:
```
data_LaCrIn2
_cell_length_a 3.6298
_cell_length_b 3.6298
_cell_length_c 7.7296
_cell_angle_alpha 90.00
_cell_angle_beta 90.00
_cell_angle_gamma 90.00
_symmetry_space_group_name_H-M 'P 1'
_symmetry_Int_Tables_number 1
_symmetry_space_group_name_Hall 'P 1'
loop_
_atom_site_label
_atom_site_type_symbol
_atom_site_fract_x
_atom_site_fract_y
_atom_site_fract_z
La1 La 0.0000 0.0000 0.0000
Cr1 Cr 0.5000 0.5000 0.2667
In1 In 0.0000 0.0000 0.4437
In2 In 0.5000 0.5000 0.6895
```


Record 4
This record from Alexandria describes a relaxed Al4HgS7 crystal. The functional is PBE.

Calculated values
* calculated volume: 26.044 Å³ per atom
* DOS(E_F): 0.000 states/eV/f.u.
* E: -4.572 eV/atom
* uncorrected formation energy: -892 meV per atom

CIF file:
```
data_Al4HgS7
_cell_length_a 15.4653
_cell_length_b 6.5451
_cell_length_c 6.1750
_cell_angle_alpha 90.00
_cell_angle_beta 90.00
_cell_angle_gamma 90.00
_symmetry_space_group_name_H-M 'P 1'
_symmetry_Int_Tables_number 1
_symmetry_space_group_name_Hall 'P 1'
loop_
_atom_site_label
_atom_site_type_symbol
_atom_site_fract_x
_atom_site_fract_y
_atom_site_fract_z
Al1 Al 0.1254 0.1732 0.0000
Al2 Al 0.2435 0.3283 0.4680
Al3 Al 0.2565 0.6717 0.9680
Al4 Al 0.3746 0.8268 0.5000
Al5 Al 0.6254 0.8268 0.5000
Al6 Al 0.7435 0.6717 0.9680
Al7 Al 0.7565 0.3283 0.4680
Al8 Al 0.8746 0.1732 0.0000
Hg1 Hg 0.0000 0.6577 0.9005
Hg2 Hg 0.5000 0.3423 0.4005
S1 S 0.0000 0.2826 0.8370
S2 S 0.1207 0.1993 0.3544
S3 S 0.1382 0.8515 0.8540
S4 S 0.2412 0.3417 0.8446
S5 S 0.2588 0.6583 0.3446
S6 S 0.3618 0.1485 0.3540
S7 S 0.3793 0.8007 0.8544
S8 S 0.5000 0.7174 0.3370
S9 S 0.6207 0.8007 0.8544
S10 S 0.6382 0.1485 0.3540
S11 S 0.7412 0.6583 0.3446
S12 S 0.7588 0.3417 0.8446
S13 S 0.8618 0.8515 0.8540
S14 S 0.8793 0.1993 0.3544
```


Record 5
This record from Alexandria describes a relaxed SrOs2Rh2 crystal. The functional is PBE.

Calculated values
* formation energy: 1.31 eV/f.u.
* calculated volume: 19.306 Å³ per atom
* DOS(E_F): 7.177 states/eV/f.u.
* E: -7.506 eV/atom

CIF file:
```
data_SrOs2Rh2
_cell_length_a 4.2979
_cell_length_b 4.2979
_cell_length_c 10.4517
_cell_angle_alpha 90.00
_cell_angle_beta 90.00
_cell_angle_gamma 90.00
_symmetry_space_group_name_H-M 'P 1'
_symmetry_Int_Tables_number 1
_symmetry_space_group_name_Hall 'P 1'
loop_
_atom_site_label
_atom_site_type_symbol
_atom_site_fract_x
_atom_site_fract_y
_atom_site_fract_z
Sr1 Sr 0.0000 0.0000 0.0000
Sr2 Sr 0.5000 0.5000 0.5000
Os1 Os 0.0000 0.0000 0.3892
Os2 Os 0.0000 0.0000 0.6108
Os3 Os 0.5000 0.5000 0.1108
Os4 Os 0.5000 0.5000 0.8892
Rh1 Rh 0.0000 0.5000 0.2500
Rh2 Rh 0.0000 0.5000 0.7500
Rh3 Rh 0.5000 0.0000 0.2500
Rh4 Rh 0.5000 0.0000 0.7500
```


Record 6
This record from Alexandria describes a relaxed RbAsPSe2 crystal. The functional is PBE.

Calculated values
* offset from the most stable computed form: 0.000 eV per atom
* calculated volume: 26.189 Å³ per atom
* DOS(E_F): 4.357 states/eV/f.u.
* E: -3.561 eV/atom
* uncorrected formation energy: 38 meV per atom

CIF file:
```
data_RbAsPSe2
_cell_length_a 5.2265
_cell_length_b 5.2265
_cell_length_c 4.7936
_cell_angle_alpha 90.00
_cell_angle_beta 90.00
_cell_angle_gamma 90.00
_symmetry_space_group_name_H-M 'P 1'
_symmetry_Int_Tables_number 1
_symmetry_space_group_name_Hall 'P 1'
loop_
_atom_site_label
_atom_site_type_symbol
_atom_site_fract_x
_atom_site_fract_y
_atom_site_fract_z
Rb1 Rb 0.0000 0.0000 0.0000
As1 As 0.5000 0.5000 0.0000
P1 P 0.5000 0.5000 0.5000
Se1 Se 0.0000 0.5000 0.5000
Se2 Se 0.5000 0.0000 0.5000
```


Record 7
This record from Alexandria describes a relaxed BaCa2Ni crystal. The functional is PBE.

Calculated values
* formation energy: 0.21 eV/f.u.
* offset from the most stable computed form: 0.013 eV per atom
* calculated volume: 37.586 Å³ per atom
* DOS(E_F): 4.003 states/eV/f.u.
* E: -2.875 eV/atom

CIF file:
```
data_BaCa2Ni
_cell_length_a 4.1629
_cell_length_b 4.1629
_cell_length_c 30.0536
_cell_angle_alpha 90.00
_cell_angle_beta 90.00
_cell_angle_gamma 120.00
_symmetry_space_group_name_H-M 'P 1'
_symmetry_Int_Tables_number 1
_symmetry_space_group_name_Hall 'P 1'
loop_
_atom_site_label
_atom_site_type_symbol
_atom_site_fract_x
_atom_site_fract_y
_atom_site_fract_z
Ba1 Ba 0.0000 0.0000 0.0000
Ba2 Ba 0.3333 0.6667 0.6667
Ba3 Ba 0.6667 0.3333 0.3333
Ca1 Ca 0.0000 0.0000 0.2159
Ca2 Ca 0.0000 0.0000 0.7841
Ca3 Ca 0.3333 0.6667 0.4507
Ca4 Ca 0.3333 0.6667 0.8826
Ca5 Ca 0.6667 0.3333 0.1174
Ca6 Ca 0.6667 0.3333 0.5493
Ni1 Ni 0.0000 0.0000 0.5000
Ni2 Ni 0.3333 0.6667 0.1667
Ni3 Ni 0.6667 0.3333 0.8333
```